# 1
# LuSc3

A relaxed structure of LuSc3 (GGA-PBE, the Alexandria database).

The structure belongs to space group Pmm2 (No. 25); the cell edges are 3.3725, 5.2328 and 5.8276 Å and the angles 90.00°, 90.00° and 90.00°. The distinct sites, in fractional coordinates, are Lu at (0.0000, 0.0000, 0.0000), Sc at (0.0000, 0.5000, 0.6621), Sc at (0.5000, 0.0000, 0.4983) and Sc at (0.5000, 0.5000, 0.1689).

# 2
# LuSc3

A relaxed structure of LuSc3 (GGA-PBE, the Alexandria database).

The structure belongs to space group Pm-3m (No. 221); the cell edges are 4.6832, 4.6832 and 4.6832 Å and the angles 90.00°, 90.00° and 90.00°. The distinct sites, in fractional coordinates, are Lu at (0.0000, 0.0000, 0.0000) and Sc at (0.0000, 0.5000, 0.5000).

# 3
# LuSc3

A relaxed structure of LuSc3 (GGA-PBE, the Alexandria database).

The structure belongs to space group Fm-3m (No. 225); the cell edges are 7.4551, 7.4551 and 7.4551 Å and the angles 90.00°, 90.00° and 90.00°. The distinct sites, in fractional coordinates, are Lu at (0.0000, 0.0000, 0.0000), Sc at (0.0000, 0.0000, 0.5000) and Sc at (0.2500, 0.2500, 0.2500).

# 4
# LuSc3

A relaxed structure of LuSc3 (GGA-PBE, the Alexandria database).

The structure belongs to space group I4/mmm (No. 139); the cell edges are 4.6855, 4.6855 and 9.3526 Å and the angles 90.00°, 90.00° and 90.00°. The distinct sites, in fractional coordinates, are Lu at (0.0000, 0.0000, 0.0000), Sc at (0.0000, 0.0000, 0.5000) and Sc at (0.0000, 0.5000, 0.2500).

| no. | uncorrected energy (eV per atom) | distance to the lowest polymorph of the same formula (meV/atom) | calculated formation energy (eV/atom) |
| --- | --- | --- | --- |
| 1 | -5.87 | 0 | 0.010 |
| 2 | -5.83 | 44 | 0.053 |
| 3 | -5.76 | 107 | 0.117 |
| 4 | -5.83 | 43 | 0.053 |